Entry 1:
# PBE MnAlPt5, relaxed
# Fermi-level density of states = 0.739 states/eV per atom
# Energy of formation = -0.3387 eV/atom
# Energy above the lowest structure with this stoichiometry = 0.139 eV per atom
data_MnAlPt5
_chemical_formula_sum 'Mn4 Al4 Pt20'
_cell_length_a 8.828
_cell_length_b 8.801
_cell_length_c 6.674
_cell_angle_alpha 90.00
_cell_angle_beta 119.21
_cell_angle_gamma 90.00
_symmetry_space_group_name_H-M 'C 1 2/c 1'
_symmetry_Int_Tables_number 15
loop_
_symmetry_equiv_pos_as_xyz
'x,y,z'
'-x,-y,-z'
'-x,y,-z+1/2'
'x,-y,z+1/2'
'x+1/2,y+1/2,z'
'-x+1/2,-y+1/2,-z'
'-x+1/2,y+1/2,-z+1/2'
'x+1/2,-y+1/2,z+1/2'
loop_
_atom_site_label
_atom_site_fract_x
_atom_site_fract_y
_atom_site_fract_z
_atom_site_occupancy
Mn1 0.250 0.250 0.000 1
Al1 0.000 0.203 0.250 1
Pt1 0.000 0.072 0.750 1
Pt2 0.052 0.360 0.584 1
Pt3 0.246 0.407 0.364 1

***

Entry 2:
# PBE Zn2CoBr, relaxed
# Formation energy without anion corrections = 448 meV/atom
# Fermi-level density of states = 1.154 states/eV per atom
# Energy above the lowest structure with this stoichiometry = 0.351 eV per atom
data_Zn2CoBr
_chemical_formula_sum 'Zn2 Co1 Br1'
_cell_length_a 3.122
_cell_length_b 4.032
_cell_length_c 5.670
_cell_angle_alpha 90.00
_cell_angle_beta 90.00
_cell_angle_gamma 90.00
_symmetry_space_group_name_H-M 'P m m m'
_symmetry_Int_Tables_number 47
loop_
_symmetry_equiv_pos_as_xyz
'x,y,z'
'-x,-y,-z'
'-x,-y,z'
'x,y,-z'
'x,-y,-z'
'-x,y,z'
'-x,y,-z'
'x,-y,z'
loop_
_atom_site_label
_atom_site_fract_x
_atom_site_fract_y
_atom_site_fract_z
_atom_site_occupancy
Zn1 0.000 0.000 0.000 1
Zn2 0.500 0.500 0.000 1
Co1 0.000 0.500 0.500 1
Br1 0.500 0.000 0.500 1

***

Entry 3:
# PBE Na2TlCd2, relaxed
# Fermi-level density of states = 0.607 states/eV per atom
# Energy of formation = 0.0552 eV/atom
# Energy above the lowest structure with this stoichiometry = 0.151 eV per atom
data_Na2TlCd2
_chemical_formula_sum 'Na4 Tl2 Cd4'
_cell_length_a 4.465
_cell_length_b 4.465
_cell_length_c 14.877
_cell_angle_alpha 90.00
_cell_angle_beta 90.00
_cell_angle_gamma 90.00
_symmetry_space_group_name_H-M 'I 4/m m m'
_symmetry_Int_Tables_number 139
_symmetry_space_group_name_Hall '-I 4 2'
loop_
_atom_site_label
_atom_site_fract_x
_atom_site_fract_y
_atom_site_fract_z
_atom_site_occupancy
Na1 0.000 0.500 0.250 1
Tl1 0.000 0.000 0.000 1
Cd1 0.000 0.000 0.404 1

***

Entry 4:
# PBE LiTcIr2, relaxed
# Fermi-level density of states = 0.911 states/eV per atom
# Energy of formation = -0.0979 eV/atom
# Energy above the lowest structure with this stoichiometry = 0.016 eV per atom
data_LiTcIr2
_chemical_formula_sum 'Li1 Tc1 Ir2'
_cell_length_a 2.737
_cell_length_b 3.723
_cell_length_c 5.406
_cell_angle_alpha 90.00
_cell_angle_beta 90.00
_cell_angle_gamma 90.00
_symmetry_space_group_name_H-M 'P m m m'
_symmetry_Int_Tables_number 47
loop_
_symmetry_equiv_pos_as_xyz
'x,y,z'
'-x,-y,-z'
'-x,-y,z'
'x,y,-z'
'x,-y,-z'
'-x,y,z'
'-x,y,-z'
'x,-y,z'
loop_
_atom_site_label
_atom_site_fract_x
_atom_site_fract_y
_atom_site_fract_z
_atom_site_occupancy
Li1 0.000 0.000 0.000 1
Tc1 0.000 0.000 0.500 1
Ir1 0.500 0.500 0.243 1

***

Entry 5:
# PBE Be2CdBr, relaxed
# Formation energy without anion corrections = 539 meV/atom
# Fermi-level density of states = 0.456 states/eV per atom
# Energy above the lowest structure with this stoichiometry = 0.248 eV per atom
data_Be2CdBr
_chemical_formula_sum 'Be4 Cd2 Br2'
_cell_length_a 2.960
_cell_length_b 6.160
_cell_length_c 9.073
_cell_angle_alpha 90.00
_cell_angle_beta 90.00
_cell_angle_gamma 90.00
_symmetry_space_group_name_H-M 'I m m 2'
_symmetry_Int_Tables_number 44
loop_
_symmetry_equiv_pos_as_xyz
'x,y,z'
'-x,-y,z'
'-x,y,z'
'x,-y,z'
'x+1/2,y+1/2,z+1/2'
'-x+1/2,-y+1/2,z+1/2'
'-x+1/2,y+1/2,z+1/2'
'x+1/2,-y+1/2,z+1/2'
loop_
_atom_site_label
_atom_site_fract_x
_atom_site_fract_y
_atom_site_fract_z
_atom_site_occupancy
Be1 0.000 0.000 0.000 1
Be2 0.000 0.500 0.307 1
Cd1 0.000 0.500 0.747 1
Br1 0.000 0.000 0.627 1

***

Entry 6:
# PBE AgMoCl5, relaxed
# Formation energy without anion corrections = -619 meV/atom
data_AgMoCl5
_chemical_formula_sum 'Ag2 Mo2 Cl10'
_cell_length_a 7.545
_cell_length_b 9.328
_cell_length_c 7.691
_cell_angle_alpha 90.00
_cell_angle_beta 90.00
_cell_angle_gamma 90.00
_symmetry_space_group_name_H-M 'I m m 2'
_symmetry_Int_Tables_number 44
loop_
_symmetry_equiv_pos_as_xyz
'x,y,z'
'-x,-y,z'
'-x,y,z'
'x,-y,z'
'x+1/2,y+1/2,z+1/2'
'-x+1/2,-y+1/2,z+1/2'
'-x+1/2,y+1/2,z+1/2'
'x+1/2,-y+1/2,z+1/2'
loop_
_atom_site_label
_atom_site_fract_x
_atom_site_fract_y
_atom_site_fract_z
_atom_site_occupancy
Ag1 0.000 0.000 0.000 1
Mo1 0.000 0.500 0.901 1
Cl1 0.000 0.239 0.879 1
Cl2 0.000 0.500 0.604 1
Cl3 0.243 0.000 0.550 1

***

Entry 7:
# PBE TbPaSe2O, relaxed
# Formation energy without anion corrections = -2175 meV/atom
# Fermi-level density of states = 0.715 states/eV per atom
data_TbPaSe2O
_chemical_formula_sum 'Tb2 Pa2 Se4 O2'
_cell_length_a 3.994
_cell_length_b 3.994
_cell_length_c 13.913
_cell_angle_alpha 90.00
_cell_angle_beta 90.00
_cell_angle_gamma 90.00
_symmetry_space_group_name_H-M 'P 4/n m m'
_symmetry_Int_Tables_number 129
loop_
_symmetry_equiv_pos_as_xyz
'x,y,z'
'-x,-y,-z'
'-y+1/2,x,z'
'y+1/2,-x,-z'
'-x+1/2,-y+1/2,z'
'x+1/2,y+1/2,-z'
'y,-x+1/2,z'
'-y,x+1/2,-z'
'x+1/2,-y,-z'
'-x+1/2,y,z'
'-y,-x,-z'
'y,x,z'
'-x,y+1/2,-z'
'x,-y+1/2,z'
'y+1/2,x+1/2,-z'
'-y+1/2,-x+1/2,z'
loop_
_atom_site_label
_atom_site_fract_x
_atom_site_fract_y
_atom_site_fract_z
_atom_site_occupancy
Tb1 0.250 0.250 0.079 1
Pa1 0.250 0.250 0.604 1
Se1 0.250 0.250 0.388 1
Se2 0.250 0.250 0.801 1
O1 0.250 0.750 0.000 1